A relaxed Nd6Co2AuCl3 crystal. Source: Alexandria via LeMat-Bulk, functional PBE.

Properties
- Total magnetic moment: 0.00 μB/cell
- Space group: C2/m, No. 12
- Uncorrected formation energy: -908 meV per atom

a = 4.0526 Å, b = 8.8817 Å, c = 9.8012 Å
α = 108.56°, β = 101.93°, γ = 90.00°
Element x y z (fractional)
1 Nd 0.3362 0.8773 0.6723
2 Nd 0.6828 0.5649 0.3656
3 Nd 0.6638 0.1227 0.3277
4 Nd 0.0233 0.2572 0.0466
5 Nd 0.9767 0.7428 0.9534
6 Nd 0.3172 0.4351 0.6344
7 Co 0.8320 0.6613 0.6640
8 Co 0.1680 0.3387 0.3360
9 Au 0.5000 0.0000 0.0000
10 Cl 0.5000 0.5000 0.0000
11 Cl 0.8295 0.1598 0.6589
12 Cl 0.1705 0.8402 0.3411